Here is Re2Ge2P after structural relaxation from Alexandria via LeMat-Bulk. Energies are from GGA-PBE.

For the formation energy, the calculation gives 4.09 eV/f.u.

Lattice parameters (Å, degrees): 4.4484 4.4484 5.4316 65.83 65.83 90.00
Positions (direct):
P 0.0000 0.0000 0.0000
Re 0.2500 0.7500 0.5000
Re 0.7500 0.2500 0.5000
Ge 0.6308 0.6308 0.7384
Ge 0.3692 0.3692 0.2616

=====

Here is ReGeSb2P after structural relaxation from Alexandria via LeMat-Bulk. Energies are from GGA-PBE.

The formation energy without anion corrections comes out at 0.988 eV/atom.

Lattice parameters (Å, degrees): 5.2919 4.3890 5.2919 90.00 90.00 90.00
Positions (direct):
Re 0.0000 0.5000 0.0000
Sb 0.0000 0.0000 0.5000
Sb 0.5000 0.0000 0.0000
P 0.0000 0.0000 0.0000
Ge 0.5000 0.5000 0.5000